Record 1
Compound: BaAgAsSe2
Source: the Alexandria database
Functional: meta-GGA SCAN
Structure: single point on PBEsol structure

Cell: 4.867 5.206 5.206 Å, 90.00 90.00 90.00°
Element x y z (fractional)
As 0.500 0.000 0.000
Se 0.000 0.000 0.500
Se 0.000 0.500 0.000
Ba 0.500 0.500 0.500
Ag 0.000 0.000 0.000

Calculated values
- Space group: No. 123



Record 2
Compound: Li2NiGe3O8
Source: the Alexandria database
Functional: meta-GGA SCAN
Structure: single point on PBEsol structure

Cell: 8.192 8.192 8.192 Å, 90.00 90.00 90.00°
Last column: magnetic moment on the atom in μB.
Element x y z (fractional)
Li 0.503 0.503 0.503  0.00
Li 0.253 0.247 0.753  0.00
Li 0.753 0.253 0.247  0.00
Li 0.247 0.753 0.253  0.00
Li 0.997 0.497 0.003  0.00
Li 0.003 0.997 0.497  0.00
Li 0.497 0.003 0.997  0.00
Li 0.747 0.747 0.747  0.00
Ni 0.125 0.125 0.125  1.66
Ni 0.375 0.875 0.625  1.66
Ni 0.625 0.375 0.875  1.66
Ni 0.875 0.625 0.375  1.66
Ge 0.876 0.374 0.625  0.00
Ge 0.374 0.625 0.876  0.00
Ge 0.626 0.125 0.624  0.00
Ge 0.874 0.875 0.124  0.00
Ge 0.124 0.874 0.875  0.00
Ge 0.624 0.626 0.125  0.00
Ge 0.875 0.124 0.874  0.00
Ge 0.375 0.376 0.126  0.00
Ge 0.625 0.876 0.374  0.00
Ge 0.126 0.375 0.376  0.00
Ge 0.125 0.624 0.626  0.00
Ge 0.376 0.126 0.375  0.00
O 0.616 0.116 0.384  0.00
O 0.647 0.357 0.625  0.05
O 0.147 0.143 0.375  0.05
O 0.357 0.625 0.647  0.05
O 0.643 0.125 0.853  0.05
O 0.625 0.647 0.357  0.05
O 0.875 0.353 0.857  0.05
O 0.897 0.375 0.393  0.05
O 0.397 0.125 0.607  0.05
O 0.103 0.875 0.107  0.05
O 0.125 0.607 0.397  0.05
O 0.107 0.103 0.875  0.05
O 0.607 0.397 0.125  0.05
O 0.375 0.393 0.897  0.05
O 0.393 0.897 0.375  0.05
O 0.875 0.107 0.103  0.05
O 0.884 0.884 0.884  0.00
O 0.634 0.866 0.134  0.00
O 0.134 0.634 0.866  0.00
O 0.866 0.134 0.634  0.00
O 0.625 0.893 0.603  0.05
O 0.384 0.616 0.116  0.00
O 0.116 0.384 0.616  0.00
O 0.366 0.366 0.366  0.00
O 0.893 0.603 0.625  0.05
O 0.353 0.857 0.875  0.05
O 0.853 0.643 0.125  0.05
O 0.143 0.375 0.147  0.05
O 0.857 0.875 0.353  0.05
O 0.125 0.853 0.643  0.05
O 0.375 0.147 0.143  0.05
O 0.603 0.625 0.893  0.05

Calculated values
- Space group: No. 212



Record 3
Compound: Cd2GeO4
Source: the Alexandria database
Functional: meta-GGA SCAN
Structure: single point on PBEsol structure

Cell: 5.222 6.579 11.215 Å, 90.00 90.00 90.00°
Element x y z (fractional)
Cd 0.510 0.250 0.780
Cd 0.010 0.750 0.720
Cd 0.490 0.750 0.220
Cd 0.990 0.250 0.280
Cd 0.500 0.500 0.500
Cd 0.000 0.500 0.000
Cd 0.500 0.000 0.500
Cd 0.000 0.000 0.000
Ge 0.066 0.250 0.598
Ge 0.566 0.750 0.902
Ge 0.934 0.750 0.402
Ge 0.434 0.250 0.098
O 0.779 0.538 0.335
O 0.279 0.462 0.165
O 0.221 0.038 0.665
O 0.721 0.962 0.835
O 0.221 0.462 0.665
O 0.721 0.538 0.835
O 0.779 0.962 0.335
O 0.279 0.038 0.165
O 0.210 0.250 0.452
O 0.710 0.750 0.048
O 0.790 0.750 0.548
O 0.290 0.250 0.952
O 0.769 0.250 0.097
O 0.269 0.750 0.403
O 0.231 0.750 0.903
O 0.731 0.250 0.597

Calculated values
- Space group: No. 62



Record 4
Compound: Sc2Ag2Sn
Source: the Alexandria database
Functional: meta-GGA SCAN
Structure: single point on PBEsol structure

Cell: 3.566 7.475 7.475 Å, 90.00 90.00 90.00°
Element x y z (fractional)
Sc 0.500 0.168 0.668
Sc 0.500 0.668 0.832
Sc 0.500 0.832 0.332
Sc 0.500 0.332 0.168
Sn 0.000 0.000 0.000
Sn 0.000 0.500 0.500
Ag 0.000 0.372 0.872
Ag 0.000 0.872 0.628
Ag 0.000 0.628 0.128
Ag 0.000 0.128 0.372

Calculated values
- Space group: No. 127



Record 5
Compound: Cr2GaP2
Source: the Alexandria database
Functional: meta-GGA SCAN
Structure: single point on PBEsol structure

Cell: 3.271 3.271 6.323 Å, 104.99 104.99 90.00°
Element x y z (fractional)
Cr 0.385 0.385 0.771
Cr 0.615 0.615 0.229
Ga 0.000 0.000 0.000
P 0.250 0.750 0.500
P 0.750 0.250 0.500

Calculated values
- Space group: No. 139



Record 6
Compound: SbTePt2
Source: the Alexandria database
Functional: meta-GGA SCAN
Structure: single point on PBEsol structure

Cell: 4.073 4.073 5.487 Å, 111.79 111.79 90.00°
Element x y z (fractional)
Pt 0.000 0.000 0.000
Pt 0.750 0.250 0.500
Sb 0.500 0.500 0.000
Te 0.250 0.750 0.500

Calculated values
- Space group: No. 119



Record 7
Compound: Y2IrSe
Source: the Alexandria database
Functional: meta-GGA SCAN
Structure: single point on PBEsol structure

Cell: 3.933 3.933 7.277 Å, 74.32 74.32 60.00°
Element x y z (fractional)
Y 0.757 0.757 0.729
Y 0.243 0.243 0.271
Ir 0.500 0.500 0.500
Se 0.000 0.000 0.000

Calculated values
- Space group: No. 166



Record 8
Compound: Er2Fe2Si2C
Source: the Alexandria database
Functional: meta-GGA SCAN
Structure: single point on PBEsol structure

Cell: 3.862 5.531 5.537 Å, 73.09 69.59 69.57°
Element x y z (fractional)
C 0.000 0.000 0.000
Er 0.559 0.174 0.708
Er 0.441 0.826 0.292
Si 0.159 0.393 0.288
Si 0.841 0.607 0.712
Fe 0.202 0.692 0.903
Fe 0.798 0.308 0.097

Calculated values
- Space group: No. 12



Record 9
Compound: SnP6W3O24
Source: the Alexandria database
Functional: meta-GGA SCAN
Structure: single point on PBEsol structure

Cell: 8.948 8.948 8.948 Å, 57.82 57.82 57.82°
Last column: magnetic moment on the atom in μB.
Element x y z (fractional)
Sn 0.144 0.144 0.144  0.00
P 0.965 0.251 0.533  0.01
P 0.533 0.965 0.251  0.01
P 0.251 0.533 0.965  0.01
P 0.751 0.465 0.035  0.01
P 0.465 0.035 0.751  0.01
P 0.035 0.751 0.465  0.01
W 0.644 0.644 0.644  0.95
W 0.856 0.856 0.856  1.11
W 0.358 0.358 0.358  1.09
O 0.503 0.136 0.279  0.01
O 0.279 0.503 0.136  0.01
O 0.136 0.279 0.503  0.01
O 0.951 0.067 0.701  0.01
O 0.978 0.251 0.356  0.01
O 0.784 0.414 0.584  0.01
O 0.701 0.951 0.067  0.01
O 0.584 0.784 0.414  0.01
O 0.765 0.642 0.009  0.01
O 0.414 0.584 0.784  0.01
O 0.932 0.297 0.040  0.00
O 0.642 0.009 0.765  0.01
O 0.356 0.978 0.251  0.01
O 0.067 0.701 0.951  0.01
O 0.584 0.426 0.217  0.01
O 0.251 0.356 0.978  0.01
O 0.426 0.217 0.584  0.01
O 0.297 0.040 0.932  0.00
O 0.217 0.584 0.426  0.01
O 0.009 0.765 0.642  0.01
O 0.040 0.932 0.297  0.00
O 0.870 0.709 0.503  0.01
O 0.709 0.503 0.870  0.01
O 0.503 0.870 0.709  0.01

Calculated values
- Space group: No. 146



Record 10
Compound: Ca2Sc2O
Source: the Alexandria database
Functional: meta-GGA SCAN
Structure: single point on PBEsol structure

Cell: 3.542 3.542 9.418 Å, 100.84 100.84 90.00°
Element x y z (fractional)
Sc 0.250 0.750 0.500
Sc 0.750 0.250 0.500
Ca 0.420 0.420 0.839
Ca 0.580 0.580 0.161
O 0.000 0.000 0.000

Calculated values
- Space group: No. 139



Record 11
Compound: HfHgCl3
Source: the Alexandria database
Functional: meta-GGA SCAN
Structure: single point on PBEsol structure

Cell: 4.938 4.938 4.938 Å, 90.00 90.00 90.00°
Element x y z (fractional)
Hf 0.000 0.000 0.000
Hg 0.500 0.500 0.500
Cl 0.000 0.500 0.000
Cl 0.000 0.000 0.500
Cl 0.500 0.000 0.000

Calculated values
- Space group: No. 221



Record 12
Compound: TaMnCr
Source: the Alexandria database
Functional: meta-GGA SCAN
Structure: single point on PBEsol structure

Cell: 3.998 3.998 3.998 Å, 60.00 60.00 60.00°
Last column: magnetic moment on the atom in μB.
Element x y z (fractional)
Cr 0.250 0.250 0.250  -1.45
Mn 0.000 0.000 0.000  2.60
Ta 0.500 0.500 0.500  -0.37

Calculated values
- Space group: No. 216



Record 13
Compound: SrCrI2N
Source: the Alexandria database
Functional: meta-GGA SCAN
Structure: single point on PBEsol structure

Cell: 3.714 5.695 5.695 Å, 90.00 90.00 90.00°
Last column: magnetic moment on the atom in μB.
Element x y z (fractional)
I 0.000 0.000 0.500  -0.03
I 0.000 0.500 0.000  -0.03
Sr 0.500 0.500 0.500  0.00
N 0.500 0.000 0.000  -0.49
Cr 0.000 0.000 0.000  3.11

Calculated values
- Space group: No. 123



Record 14
Compound: V2Se2O11
Source: the Alexandria database
Functional: meta-GGA SCAN
Structure: single point on PBEsol structure

Cell: 5.557 8.206 9.835 Å, 110.00 90.00 109.79°
Element x y z (fractional)
V 0.029 0.242 0.293
V 0.787 0.758 0.207
V 0.971 0.758 0.707
V 0.213 0.242 0.793
Se 0.510 0.295 0.101
Se 0.215 0.705 0.399
Se 0.490 0.705 0.899
Se 0.785 0.295 0.601
O 0.115 0.000 0.750
O 0.885 0.000 0.250
O 0.264 0.303 0.412
O 0.961 0.697 0.088
O 0.736 0.697 0.588
O 0.039 0.303 0.912
O 0.515 0.293 0.930
O 0.221 0.707 0.570
O 0.485 0.707 0.070
O 0.779 0.293 0.430
O 0.199 0.191 0.118
O 0.008 0.809 0.382
O 0.801 0.809 0.882
O 0.992 0.191 0.618
O 0.601 0.514 0.222
O 0.087 0.486 0.278
O 0.399 0.486 0.778
O 0.913 0.514 0.722
O 0.684 0.181 0.129
O 0.503 0.819 0.371
O 0.316 0.819 0.871
O 0.497 0.181 0.629

Calculated values
- Space group: No. 15



Record 15
Compound: K2TlAg
Source: the Alexandria database
Functional: meta-GGA SCAN
Structure: single point on PBEsol structure

Cell: 4.220 5.818 6.677 Å, 115.82 108.42 90.00°
Element x y z (fractional)
Tl 0.549 0.549 0.098
K 0.971 0.971 0.942
K 0.771 0.271 0.542
Ag 0.209 0.709 0.419

Calculated values
- Energy above the lowest structure with this stoichiometry: 18 meV per atom
- Space group: No. 44



Record 16
Compound: HgPb2Au
Source: the Alexandria database
Functional: meta-GGA SCAN
Structure: single point on PBEsol structure

Cell: 3.476 3.476 8.081 Å, 90.00 90.00 90.00°
Element x y z (fractional)
Pb 0.000 0.000 0.969
Pb 0.500 0.500 0.298
Au 0.000 0.000 0.518
Hg 0.500 0.500 0.715

Calculated values
- Energy above the lowest structure with this stoichiometry: 81 meV per atom
- Space group: No. 99



Record 17
Compound: TaBeAg2
Source: the Alexandria database
Functional: meta-GGA SCAN
Structure: single point on PBEsol structure

Cell: 2.816 2.816 9.016 Å, 81.02 81.02 60.00°
Element x y z (fractional)
Be 0.497 0.497 0.508
Ag 0.001 0.001 0.996
Ag 0.759 0.759 0.724
Ta 0.243 0.243 0.272

Calculated values
- Space group: No. 160



Record 18
Compound: Ca2AuBr2
Source: the Alexandria database
Functional: meta-GGA SCAN
Structure: single point on PBEsol structure

Cell: 4.593 4.593 7.646 Å, 107.48 107.48 90.00°
Element x y z (fractional)
Ca 0.624 0.624 0.248
Ca 0.376 0.376 0.752
Au 0.000 0.000 0.000
Br 0.250 0.750 0.500
Br 0.750 0.250 0.500

Calculated values
- Space group: No. 139



Record 19
Compound: Sb28Mo9Ru3
Source: the Alexandria database
Functional: meta-GGA SCAN
Structure: single point on PBEsol structure

Cell: 8.204 8.204 13.442 Å, 90.22 90.22 70.24°
Element x y z (fractional)
Sb 0.500 0.826 0.499
Sb 0.001 0.326 0.000
Sb 0.675 0.000 0.000
Sb 0.175 0.500 0.500
Sb 0.664 0.338 0.663
Sb 0.163 0.838 0.162
Sb 0.164 0.838 0.838
Sb 0.662 0.337 0.337
Sb 0.500 0.175 0.500
Sb 0.000 0.675 0.000
Sb 0.326 0.001 0.000
Sb 0.826 0.500 0.499
Sb 0.838 0.164 0.838
Sb 0.337 0.662 0.337
Sb 0.338 0.664 0.663
Sb 0.838 0.163 0.162
Sb 0.626 0.626 0.876
Sb 0.123 0.123 0.376
Sb 0.375 0.375 0.874
Sb 0.876 0.876 0.373
Sb 0.502 0.002 0.750
Sb 0.000 0.501 0.249
Sb 0.125 0.125 0.624
Sb 0.626 0.626 0.124
Sb 0.875 0.875 0.627
Sb 0.374 0.374 0.126
Sb 0.002 0.502 0.750
Sb 0.501 0.000 0.249
Mo 0.170 0.170 0.171
Mo 0.158 0.840 0.501
Mo 0.658 0.342 0.999
Mo 0.327 0.327 0.673
Mo 0.826 0.826 0.173
Mo 0.828 0.828 0.827
Mo 0.328 0.328 0.330
Mo 0.342 0.658 0.999
Mo 0.840 0.158 0.501
Ru 0.170 0.170 0.829
Ru 0.670 0.670 0.331
Ru 0.670 0.670 0.670

Calculated values
- Space group: No. 8



Number 1: total energy -26.771 eV/atom. Number 2: total energy -11.068 eV/atom. Number 3: total energy -16.517 eV/atom. Number 4: total energy -25.881 eV/atom. Number 5: total energy -14.901 eV/atom. Number 6: total energy -53.526 eV/atom. Number 7: total energy -38.153 eV/atom. Number 8: total energy -24.536 eV/atom. Number 9: total energy -15.686 eV/atom. Number 10: total energy -11.080 eV/atom. Number 11: total energy -32.215 eV/atom. Number 12: total energy -33.657 eV/atom. Number 13: total energy -25.329 eV/atom. Number 14: total energy -11.024 eV/atom. Number 15: total energy -30.136 eV/atom. Number 16: total energy -72.185 eV/atom. Number 17: total energy -33.157 eV/atom. Number 18: total energy -26.721 eV/atom. Number 19: total energy -36.643 eV/atom.